The following is a DFT calculation (PBE) of an optimized crystal structure of Li2Tb2HoPb2.

a b c (Å): 4.8304 4.8304 26.8169
angles (deg): 90.00 90.00 120.00
Space group R-3m (No. 166, hexagonal axes)
Asymmetric unit:
Li: 0.0000 0.0000 0.0990
Tb: 0.0000 0.0000 0.3715
Ho: 0.0000 0.0000 0.5000
Pb: 0.0000 0.0000 0.2348

Output
For the formation energy, the calculation gives -303 meV/atom.